Density functional theory data (PBE) for a relaxed TiBe2Al crystal.

Summary:
D(E_F) = 0.48 states/eV per atom
ΔE_f = -0.21 eV per atom

Cell lengths 3.7308, 3.7308, 3.5283 Å; angles 90.00, 90.00, 90.00 degrees
Space group P4/mmm (No. 123)
Symmetry-distinct sites (fractional):
Ti  0.0000  0.0000  0.0000 (multiplicity 1)
Be  0.0000  0.5000  0.5000 (multiplicity 2)
Al  0.5000  0.5000  0.0000 (multiplicity 1)


Density functional theory data (PBE) for a relaxed RbLaYF2 crystal.

Summary:
D(E_F) = 1.16 states/eV per atom
ΔE_f (raw) = -1289 meV/atom

Cell lengths 4.4941, 4.4941, 8.1483 Å; angles 90.00, 90.00, 90.00 degrees
Space group P4/mmm (No. 123)
Symmetry-distinct sites (fractional):
Rb  0.0000  0.0000  0.0000 (multiplicity 1)
La  0.5000  0.5000  0.0000 (multiplicity 1)
Y  0.0000  0.0000  0.5000 (multiplicity 1)
F  0.0000  0.5000  0.5000 (multiplicity 2)


Density functional theory data (PBE) for a relaxed BeRu2Br crystal.

Summary:
D(E_F) = 1.26 states/eV per atom
ΔE_f (raw) = 654 meV/atom
Energy above the lowest structure with this stoichiometry = 333 meV per atom

Cell lengths 3.0744, 4.8198, 7.8986 Å; angles 90.00, 90.00, 90.00 degrees
Space group Cmmm (No. 65)
Symmetry-distinct sites (fractional):
Be  0.0000  0.0000  0.0000 (multiplicity 2)
Ru  0.0000  0.5000  0.1964 (multiplicity 4)
Br  0.0000  0.0000  0.5000 (multiplicity 2)


Density functional theory data (PBE) for a relaxed SrSbP2Pd4 crystal.

Summary:
D(E_F) = 0.52 states/eV per atom
ΔE_f (raw) = -659 meV/atom

Cell lengths 4.3260, 4.3260, 7.9993 Å; angles 90.00, 90.00, 90.00 degrees
Space group P4/mmm (No. 123)
Symmetry-distinct sites (fractional):
Sr  0.0000  0.0000  0.0000 (multiplicity 1)
Sb  0.0000  0.0000  0.5000 (multiplicity 1)
P  0.5000  0.5000  0.1424 (multiplicity 2)
Pd  0.0000  0.5000  0.2964 (multiplicity 4)


Density functional theory data (PBE) for a relaxed BeAl2AgAu4 crystal.

Summary:
D(E_F) = 0.31 states/eV per atom
ΔE_f = -0.21 eV per atom

Cell lengths 4.4778, 4.4778, 22.3200 Å; angles 90.00, 90.00, 120.00 degrees
Space group R-3m (No. 166, hexagonal axes)
Symmetry-distinct sites (fractional):
Be  0.0000  0.0000  0.0000 (multiplicity 3)
Al  0.0000  0.0000  0.2450 (multiplicity 6)
Ag  0.0000  0.0000  0.5000 (multiplicity 3)
Au  0.0000  0.0000  0.1094 (multiplicity 6)
Au  0.0000  0.0000  0.3658 (multiplicity 6)


Density functional theory data (PBE) for a relaxed CsBeFe3 crystal.

Summary:
D(E_F) = 0.77 states/eV per atom
Energy above the lowest structure with this stoichiometry = 1571 meV per atom
ΔE_f = 2.85 eV per atom

Cell lengths 4.7822, 4.7822, 4.7822 Å; angles 90.00, 90.00, 90.00 degrees
Space group Pm-3m (No. 221)
Symmetry-distinct sites (fractional):
Cs  0.0000  0.0000  0.0000 (multiplicity 1)
Be  0.5000  0.5000  0.5000 (multiplicity 1)
Fe  0.0000  0.0000  0.5000 (multiplicity 3)


Density functional theory data (PBE) for a relaxed PmY6Ho2Er crystal.

Summary:
D(E_F) = 1.56 states/eV per atom
ΔE_f = 0.12 eV per atom

Cell lengths 9.1149, 14.9595, 9.6657 Å; angles 90.00, 98.86, 90.00 degrees
Space group C2/c (No. 15)
Symmetry-distinct sites (fractional):
Pm  0.0000  0.0935  0.2500 (multiplicity 4)
Y  0.0639  0.3166  0.4441 (multiplicity 8)
Y  0.1011  0.1051  0.6192 (multiplicity 8)
Y  0.2025  0.2759  0.8174 (multiplicity 8)
Ho  0.2427  0.4498  0.0455 (multiplicity 8)
Er  0.0000  0.4762  0.7500 (multiplicity 4)


Density functional theory data (PBE) for a relaxed Pr2Tm3Sn2 crystal.

Summary:
D(E_F) = 1.26 states/eV per atom
ΔE_f = -0.46 eV per atom

Cell lengths 12.2201, 4.4589, 8.5971 Å; angles 90.00, 111.74, 90.00 degrees
Space group C2/m (No. 12)
Symmetry-distinct sites (fractional):
Pr  0.1386  0.0000  0.2967 (multiplicity 4)
Tm  0.0000  0.5000  0.5000 (multiplicity 2)
Tm  0.1221  0.5000  0.9417 (multiplicity 4)
Sn  0.1657  0.0000  0.7108 (multiplicity 4)


- Look up the D(E_F) of the second one.
  1.16 states/eV per atom


Copy entry 4 word for word.
Density functional theory data (PBE) for a relaxed SrSbP2Pd4 crystal.

Summary:
D(E_F) = 0.52 states/eV per atom
ΔE_f (raw) = -659 meV/atom

Cell lengths 4.3260, 4.3260, 7.9993 Å; angles 90.00, 90.00, 90.00 degrees
Space group P4/mmm (No. 123)
Symmetry-distinct sites (fractional):
Sr  0.0000  0.0000  0.0000 (multiplicity 1)
Sb  0.0000  0.0000  0.5000 (multiplicity 1)
P  0.5000  0.5000  0.1424 (multiplicity 2)
Pd  0.0000  0.5000  0.2964 (multiplicity 4)


- What is the D(E_F) in the sixth record?
  0.77 states/eV per atom


- Number 3 is which compound?
  BeRu2Br